Ca2PmHg5 | the Alexandria database | PBE-GGA | optimized geometry; E = -13.955 eV for the cell shown; calculated density = 9.8 g/cm3; formation energy from the elements = -0.46 eV/atom
1.0
-3.4761 2.6598 -3.0073
1.5424 -2.7879 -4.2486
-4.1833 -5.0135 5.0902
Ca Pm Hg
2 1 5
Cartesian
-3.4218 -2.4845 -2.9309
-2.6952 -2.6573 0.7652
0.0000 0.0000 0.0000
-0.9669 -0.0641 -3.6279
-5.6040 -2.4816 -0.4060
-3.0948 -5.2055 -1.0266
-0.5130 -2.6601 -1.7597
-3.0223 0.0637 -1.1390